(1)
{
  "formula": "RbReH2Cl8",
  "functional": "PBE",
  "state": "relaxed",
  "energy_ev_per_cell": -44.7,
  "cell": [[6.4596, -0.7822, 0.5506], [-0.7387, 6.5716, -0.8219], [0.8726, -1.2916, 8.9979]],
  "species": ["Cl", "H", "Cl", "Re", "Cl", "H", "Cl", "Cl", "Cl", "Cl", "Cl", "Rb"],
  "frac_coords": [[0.3432, 0.2059, 0.9952], [0.4406, 0.2665, 0.7644], [0.8980, 0.2206, 0.2379], [0.0000, 0.0000, 0.0000], [0.5013, 0.7076, 0.3766], [0.5594, 0.7335, 0.2356], [0.4987, 0.2924, 0.6234], [0.0981, 0.7801, 0.1222], [0.1020, 0.7794, 0.7621], [0.6568, 0.7941, 0.0048], [0.9019, 0.2199, 0.8778], [0.0000, 0.0000, 0.5000]]
}

(2)
{
  "formula": "Pm2PrAg5",
  "functional": "PBE",
  "state": "relaxed",
  "ef_ev_per_atom": -0.2028,
  "energy_ev_per_cell": -30.2,
  "cell": [[5.1848, 0.0000, 0.0000], [0.0000, 5.1848, 0.0000], [-2.5924, -2.5924, 7.2826]],
  "species": ["Pm", "Ag", "Ag", "Ag", "Pr", "Ag", "Pm", "Ag"],
  "frac_coords": [[0.2691, 0.2691, 0.5382], [0.1199, 0.6199, 0.2399], [0.8801, 0.3801, 0.7601], [0.6199, 0.1199, 0.2399], [0.0000, 0.0000, 0.0000], [0.5000, 0.5000, 0.0000], [0.7309, 0.7309, 0.4618], [0.3801, 0.8801, 0.7601]]
}

(3)
{
  "formula": "TlCd2RuO6",
  "functional": "PBE",
  "state": "relaxed",
  "energy_ev_per_cell": -50.1,
  "raw_formation_energy_ev_per_fu": -6.861,
  "cell": [[-4.8338, 1.1295, 0.2312], [-1.2286, -4.6041, -3.1949], [-0.5120, -3.1648, 4.7578]],
  "species": ["O", "O", "Ru", "O", "O", "Tl", "Cd", "O", "Cd", "O"],
  "frac_coords": [[0.2600, 0.0000, 0.0000], [0.7452, 0.2211, 0.2211], [0.6056, 0.0000, 0.0000], [0.7452, 0.7789, 0.2211], [0.7452, 0.7789, 0.7789], [0.5582, 0.5000, 0.5000], [0.9587, 0.5000, 0.0000], [0.7452, 0.2211, 0.7789], [0.9587, 0.0000, 0.5000], [0.1246, 0.5000, 0.5000]]
}

(4)
{
  "formula": "Mg2CdCo",
  "functional": "PBE",
  "state": "relaxed",
  "ef_ev_per_atom": 0.1074,
  "energy_ev_per_cell": -10.8,
  "cell": [[-1.8073, -3.1732, -2.3464], [2.2907, -2.9455, 2.2189], [-2.7388, -0.2679, 2.4718]],
  "species": ["Mg", "Co", "Cd", "Mg"],
  "frac_coords": [[0.0000, 0.0000, 0.0000], [0.0000, 0.5000, 0.5000], [0.5000, 0.0000, 0.5000], [0.5000, 0.5000, 0.0000]]
}

(5)
{
  "formula": "NaFe2Rh2",
  "functional": "PBE",
  "state": "relaxed",
  "de_polymorph_kj_per_mol_fu": 0,
  "ef_ev_per_atom": 0.1460,
  "energy_ev_per_cell": -64.4,
  "cell": [[-3.9687, 2.7432, 5.7689], [-0.7144, -6.9397, 2.8084], [2.2675, 0.3337, 1.4012]],
  "species": ["Fe", "Na", "Fe", "Rh", "Rh", "Fe", "Rh", "Fe", "Rh", "Na"],
  "frac_coords": [[0.8568, 0.6432, 0.0000], [0.5000, 0.5000, 0.0000], [0.1432, 0.3568, 0.0000], [0.8508, 0.3508, 0.5000], [0.6492, 0.8508, 0.5000], [0.3568, 0.8568, 0.0000], [0.3508, 0.1492, 0.5000], [0.6432, 0.1432, 0.0000], [0.1492, 0.6492, 0.5000], [0.0000, 0.0000, 0.0000]]
}

(6)
{
  "formula": "Hf2GeSb2",
  "functional": "PBE",
  "state": "relaxed",
  "de_polymorph_kj_per_mol_fu": 125,
  "energy_ev_per_cell": -66.3,
  "raw_formation_energy_ev_per_fu": -0.370,
  "cell": [[-4.5781, -2.9605, 5.8295], [0.7868, -7.3143, -3.0966], [2.9960, -0.5546, 2.0712]],
  "species": ["Sb", "Ge", "Sb", "Hf", "Hf", "Sb", "Hf", "Hf", "Ge", "Sb"],
  "frac_coords": [[0.8453, 0.6547, 0.0000], [0.0000, 0.0000, 0.0000], [0.3453, 0.8453, 0.0000], [0.8620, 0.3620, 0.5000], [0.3620, 0.1380, 0.5000], [0.6547, 0.1547, 0.0000], [0.1380, 0.6380, 0.5000], [0.6380, 0.8620, 0.5000], [0.5000, 0.5000, 0.0000], [0.1547, 0.3453, 0.0000]]
}

(7)
{
  "formula": "ErZrSc2",
  "functional": "PBE",
  "state": "relaxed",
  "de_polymorph_kj_per_mol_fu": 9,
  "ef_ev_per_atom": 0.0574,
  "energy_ev_per_cell": -25.5,
  "cell": [[4.6129, 0.0000, 0.0000], [0.0000, 4.6662, 0.0000], [0.0000, 0.0000, 4.6662]],
  "species": ["Er", "Sc", "Sc", "Zr"],
  "frac_coords": [[0.5000, 0.5000, 0.5000], [0.0000, 0.5000, 0.0000], [0.0000, 0.0000, 0.5000], [0.5000, 0.0000, 0.0000]]
}

(8)
{
  "formula": "Li12Ca2Mg3In",
  "functional": "PBE",
  "state": "relaxed",
  "ef_ev_per_atom": 0.0358,
  "energy_ev_per_cell": -33.8,
  "cell": [[-1.9860, -2.4384, 13.8944], [1.7880, -6.8901, 12.3400], [3.9568, -1.3992, 13.6136]],
  "species": ["Li", "Mg", "Li", "Ca", "Li", "Li", "Li", "Li", "Li", "Li", "Mg", "Li", "Li", "In", "Ca", "Mg", "Li", "Li"],
  "frac_coords": [[0.8941, 0.3809, 0.8941], [0.0000, 0.0000, 0.5000], [0.6036, 0.6036, 0.1222], [0.6480, 0.6480, 0.6480], [0.3964, 0.3964, 0.8778], [0.3809, 0.8941, 0.8941], [0.8941, 0.8941, 0.3809], [0.6036, 0.1222, 0.6036], [0.6191, 0.1059, 0.1059], [0.1059, 0.6191, 0.1059], [0.5000, 0.0000, 0.0000], [0.1222, 0.6036, 0.6036], [0.8778, 0.3964, 0.3964], [0.0000, 0.0000, 0.0000], [0.3520, 0.3520, 0.3520], [0.0000, 0.5000, 0.0000], [0.3964, 0.8778, 0.3964], [0.1059, 0.1059, 0.6191]]
}

(9)
{
  "formula": "TbZn2Hg",
  "functional": "PBE",
  "state": "relaxed",
  "de_polymorph_kj_per_mol_fu": 36,
  "ef_ev_per_atom": -0.2008,
  "energy_ev_per_cell": -8.3,
  "cell": [[-0.3549, -3.5248, 2.6163], [-1.3621, -3.2784, -4.6017], [4.3119, 2.0246, 3.3127]],
  "species": ["Zn", "Hg", "Tb", "Zn"],
  "frac_coords": [[0.0000, 0.2079, 0.2430], [0.0000, 0.4828, 0.9682], [0.5000, 0.8177, 0.6326], [0.5000, 0.0947, 0.3623]]
}

(10)
{
  "formula": "BeZnCr2Pt",
  "functional": "PBE",
  "state": "relaxed",
  "ef_ev_per_atom": 0.5657,
  "energy_ev_per_cell": -27.5,
  "cell": [[4.1119, 0.0000, 0.0000], [0.0000, 4.0488, 0.0000], [0.0000, 0.0000, 4.1119]],
  "species": ["Zn", "Be", "Pt", "Cr", "Cr"],
  "frac_coords": [[0.0000, 0.5000, 0.0000], [0.0000, 0.0000, 0.0000], [0.5000, 0.5000, 0.5000], [0.0000, 0.0000, 0.5000], [0.5000, 0.0000, 0.0000]]
}

(11)
{
  "formula": "Cu9Ge2Au3",
  "functional": "PBE",
  "state": "relaxed",
  "ef_ev_per_atom": 0.0633,
  "energy_ev_per_cell": -55.0,
  "cell": [[4.0604, 0.0000, 0.0000], [2.0302, 6.9761, -0.6693], [2.0302, 0.9294, 6.9462]],
  "species": ["Cu", "Cu", "Cu", "Cu", "Au", "Cu", "Au", "Ge", "Cu", "Au", "Ge", "Cu", "Cu", "Cu"],
  "frac_coords": [[0.8574, 0.8695, 0.4157], [0.0000, 0.5000, 0.5000], [0.6330, 0.9907, 0.7432], [0.3670, 0.0093, 0.2568], [0.7207, 0.2793, 0.2793], [0.8574, 0.4157, 0.8695], [0.2793, 0.7207, 0.7207], [0.5000, 0.3381, 0.6619], [0.1426, 0.5843, 0.1305], [0.0000, 0.0000, 0.0000], [0.5000, 0.6619, 0.3381], [0.3670, 0.2568, 0.0093], [0.6330, 0.7432, 0.9907], [0.1426, 0.1305, 0.5843]]
}

(12)
{
  "formula": "SrYBi2",
  "functional": "PBE",
  "state": "relaxed",
  "de_polymorph_kj_per_mol_fu": 0,
  "ef_ev_per_atom": -0.7817,
  "energy_ev_per_cell": -19.0,
  "cell": [[4.5271, 0.0000, 0.0000], [2.2636, 3.9206, 0.0000], [2.2636, 1.3069, 8.0402]],
  "species": ["Sr", "Y", "Bi", "Bi"],
  "frac_coords": [[0.5000, 0.5000, 0.5000], [0.0000, 0.0000, 0.0000], [0.2577, 0.2577, 0.2268], [0.7423, 0.7423, 0.7732]]
}

Number 8 is which compound? Li12Ca2Mg3In